The following is a PBE calculation of a relaxed VNi12Pt3 crystal, from Alexandria.

Cell lengths 7.2610, 7.2610, 7.2610 Å; angles 90.19, 90.19, 90.19 degrees
With the nearest neighbours (Å) after each atom.
Atoms (fractional coordinates):
V 0.2500 0.2500 0.2500  3 Pt 2.56, 9 Ni 2.56-2.58
V 0.7500 0.7500 0.7500  3 Pt 2.56, 9 Ni 2.56-2.58
Ni 0.0006 0.7500 0.4994  7 Ni 2.55-2.61, 4 Pt 2.57, 1 V 2.58
Ni 0.0010 0.9978 0.7565  9 Ni 2.50-2.61, 1 V 2.56, 2 Pt 2.59-2.61
Ni 0.0022 0.2435 0.9990  9 Ni 2.50-2.61, 1 V 2.56, 2 Pt 2.59-2.61
Ni 0.2435 0.9990 0.0022  9 Ni 2.50-2.61, 1 V 2.56, 2 Pt 2.59-2.61
Ni 0.2488 0.7500 0.2512  9 Ni 2.55-2.58, 3 Pt 2.56-2.60
Ni 0.2500 0.5006 0.9994  7 Ni 2.55-2.61, 4 Pt 2.57, 1 V 2.58
Ni 0.2500 0.7488 0.7512  9 Ni 2.55-2.58, 3 Pt 2.56-2.60
Ni 0.2512 0.2488 0.7500  9 Ni 2.55-2.58, 3 Pt 2.56-2.60
Ni 0.2565 0.4978 0.5010  9 Ni 2.50-2.61, 1 V 2.56, 2 Pt 2.59-2.61
Ni 0.4978 0.5010 0.2565  9 Ni 2.50-2.61, 1 V 2.56, 2 Pt 2.59-2.61
Ni 0.4994 0.0006 0.7500  7 Ni 2.55-2.61, 4 Pt 2.57, 1 V 2.58
Ni 0.4990 0.7435 0.5022  9 Ni 2.50-2.61, 1 V 2.56, 2 Pt 2.59-2.61
Ni 0.5010 0.2565 0.4978  9 Ni 2.50-2.61, 1 V 2.56, 2 Pt 2.59-2.61
Ni 0.5006 0.9994 0.2500  7 Ni 2.55-2.61, 4 Pt 2.57, 1 V 2.58
Ni 0.5022 0.4990 0.7435  9 Ni 2.50-2.61, 1 V 2.56, 2 Pt 2.59-2.61
Ni 0.7435 0.5022 0.4990  9 Ni 2.50-2.61, 1 V 2.56, 2 Pt 2.59-2.61
Ni 0.7488 0.7512 0.2500  9 Ni 2.55-2.58, 3 Pt 2.56-2.60
Ni 0.7500 0.2512 0.2488  9 Ni 2.55-2.58, 3 Pt 2.56-2.60
Ni 0.7500 0.4994 0.0006  7 Ni 2.55-2.61, 4 Pt 2.57, 1 V 2.58
Ni 0.7512 0.2500 0.7488  9 Ni 2.55-2.58, 3 Pt 2.56-2.60
Ni 0.7565 0.0010 0.9978  9 Ni 2.50-2.61, 1 V 2.56, 2 Pt 2.59-2.61
Ni 0.9978 0.7565 0.0010  9 Ni 2.50-2.61, 1 V 2.56, 2 Pt 2.59-2.61
Ni 0.9990 0.0022 0.2435  9 Ni 2.50-2.61, 1 V 2.56, 2 Pt 2.59-2.61
Ni 0.9994 0.2500 0.5006  7 Ni 2.55-2.61, 4 Pt 2.57, 1 V 2.58
Pt 0.0015 0.4985 0.2500  1 V 2.56, 11 Ni 2.56-2.61
Pt 0.2500 0.0015 0.4985  1 V 2.56, 11 Ni 2.56-2.61
Pt 0.4985 0.2500 0.0015  1 V 2.56, 11 Ni 2.56-2.61
Pt 0.5015 0.7500 0.9985  1 V 2.56, 11 Ni 2.56-2.61
Pt 0.7500 0.9985 0.5015  1 V 2.56, 11 Ni 2.56-2.61
Pt 0.9985 0.5015 0.7500  1 V 2.56, 11 Ni 2.56-2.61

Properties
- DFT total energy (eV per atom) = -6.16



The following is a PBE calculation of a relaxed V2NiPt crystal, from Alexandria.

Cell lengths 3.2307, 3.2307, 5.1841 Å; angles 90.00, 90.00, 90.00 degrees
With the nearest neighbours (Å) after each atom.
Atoms (fractional coordinates):
V 0.0000 0.0000 0.2253  1 V 2.34, 4 Ni 2.57
V 0.0000 0.0000 0.7747  1 V 2.34, 4 Ni 2.57
Ni 0.5000 0.5000 0.0000  8 V 2.57, 2 Pt 2.59
Pt 0.5000 0.5000 0.5000  2 Ni 2.59, 8 V 2.69

Properties
- DFT total energy (eV per atom) = -7.74



The following is a PBE calculation of a relaxed V2NiPt9 crystal, from Alexandria.

Cell lengths 3.9085, 3.9085, 11.7075 Å; angles 90.00, 90.00, 90.00 degrees
With the nearest neighbours (Å) after each atom.
Atoms (fractional coordinates):
V 0.0000 0.0000 0.1753  12 Pt 2.67-2.83
V 0.0000 0.0000 0.8247  12 Pt 2.67-2.83
Ni 0.0000 0.0000 0.5000  12 Pt 2.76-2.78
Pt 0.0000 0.5000 0.0000  8 Pt 2.75-2.76, 4 V 2.83
Pt 0.0000 0.5000 0.3311  2 V 2.67, 8 Pt 2.75-2.78, 2 Ni 2.78
Pt 0.0000 0.5000 0.6689  2 V 2.67, 8 Pt 2.75-2.78, 2 Ni 2.78
Pt 0.5000 0.0000 0.0000  8 Pt 2.75-2.76, 4 V 2.83
Pt 0.5000 0.0000 0.3311  2 V 2.67, 8 Pt 2.75-2.78, 2 Ni 2.78
Pt 0.5000 0.0000 0.6689  2 V 2.67, 8 Pt 2.75-2.78, 2 Ni 2.78
Pt 0.5000 0.5000 0.1655  8 Pt 2.75, 4 V 2.77
Pt 0.5000 0.5000 0.5000  4 Ni 2.76, 8 Pt 2.78
Pt 0.5000 0.5000 0.8345  8 Pt 2.75, 4 V 2.77

Properties
- DFT total energy (eV per atom) = -6.89



The following is a PBE calculation of a relaxed V2Ni5Pt5 crystal, from Alexandria.

Cell lengths 5.9545, 5.9545, 8.5103 Å; angles 114.74, 114.74, 36.02 degrees
With the nearest neighbours (Å) after each atom.
Atoms (fractional coordinates):
V 0.0866 0.0866 0.2528  5 Ni 2.57-2.75, 7 Pt 2.63-2.68
V 0.9134 0.9134 0.7472  5 Ni 2.57-2.75, 7 Pt 2.63-2.68
Ni 0.0000 0.0000 0.5000  8 Pt 2.62-2.69, 2 V 2.68, 2 Ni 2.80
Ni 0.1683 0.1683 0.0058  5 Ni 2.57-2.72, 5 Pt 2.61-2.65, 2 V 2.64-2.75
Ni 0.2599 0.2599 0.7597  2 V 2.57, 4 Ni 2.57-2.80, 6 Pt 2.58-2.72
Ni 0.7401 0.7401 0.2403  2 V 2.57, 4 Ni 2.57-2.80, 6 Pt 2.58-2.72
Ni 0.8317 0.8317 0.9942  5 Ni 2.57-2.72, 5 Pt 2.61-2.65, 2 V 2.64-2.75
Pt 0.3362 0.3362 0.5014  5 Ni 2.62-2.72, 3 V 2.63-2.68, 4 Pt 2.68-2.72
Pt 0.4125 0.4125 0.2428  7 Ni 2.61-2.69, 3 Pt 2.66-2.72, 2 V 2.67
Pt 0.5000 0.5000 0.0000  6 Ni 2.58-2.64, 2 Pt 2.66, 4 V 2.67
Pt 0.5875 0.5875 0.7572  7 Ni 2.61-2.69, 3 Pt 2.66-2.72, 2 V 2.67
Pt 0.6638 0.6638 0.4986  5 Ni 2.62-2.72, 3 V 2.63-2.68, 4 Pt 2.68-2.72

Properties
- DFT total energy (eV per atom) = -6.76



Formation energy from the elements values (in eV per atom) by entry order: -0.123 -0.226 -0.353 -0.317.